No. 1
{"formula": "Sm4Cd5In2", "functional": "PBE", "state": "relaxed", "cell": [[8.0097, 0.0000, 0.0000], [0.0000, 3.6032, 0.0000], [-1.0117, 0.0000, 10.2931]], "species": ["Sm", "Sm", "Sm", "Sm", "Cd", "Cd", "Cd", "Cd", "Cd", "In", "In"], "fractional_positions": [[0.1698, 0.0000, 0.3892], [0.2781, 0.0000, 0.9396], [0.7219, 0.0000, 0.0604], [0.8302, 0.0000, 0.6108], [0.1911, 0.5000, 0.6624], [0.4413, 0.5000, 0.2072], [0.5000, 0.5000, 0.5000], [0.5587, 0.5000, 0.7928], [0.8089, 0.5000, 0.3376], [0.0639, 0.5000, 0.1369], [0.9361, 0.5000, 0.8631]], "delta_e_f_ev_per_fu": -3.3, "sg": "P2/m", "magnetic_moment_mub_per_cell": 0.000}



No. 2
{"formula": "ScGaCo2", "functional": "PBE", "state": "relaxed", "cell": [[-3.3000, 3.3000, 2.7430], [3.3000, -3.3000, 2.7430], [3.3000, 3.3000, -2.7430]], "species": ["Sc", "Sc", "Ga", "Ga", "Co", "Co", "Co", "Co"], "fractional_positions": [[0.0000, 0.0000, 0.0000], [0.7500, 0.2500, 0.5000], [0.2500, 0.7500, 0.5000], [0.5000, 0.5000, 0.0000], [0.1523, 0.6250, 0.0273], [0.3750, 0.4023, 0.5273], [0.5977, 0.1250, 0.9727], [0.8750, 0.8477, 0.4727]], "delta_e_f_ev_per_fu": 0.5, "sg": "I-42d", "magnetic_moment_mub_per_cell": 0.000}



No. 3
{"formula": "V4Cr3Ni", "functional": "PBE", "state": "relaxed", "cell": [[2.9281, 0.0000, 0.0000], [0.0000, 4.1370, 0.0000], [0.0000, 0.0000, 8.1417]], "species": ["V", "V", "V", "V", "Cr", "Cr", "Cr", "Ni"], "fractional_positions": [[0.0000, 0.0000, 0.0000], [0.0000, 0.0000, 0.5000], [0.0000, 0.5000, 0.2450], [0.0000, 0.5000, 0.7550], [0.5000, 0.0000, 0.2564], [0.5000, 0.0000, 0.7436], [0.5000, 0.5000, 0.0000], [0.5000, 0.5000, 0.5000]], "delta_e_f_ev_per_fu": -0.7, "sg": "Pmmm", "magnetic_moment_mub_per_cell": 0.011}



No. 4
{"formula": "K2TeF7", "functional": "PBE", "state": "relaxed", "cell": [[6.9428, -3.4984, 0.0000], [6.9428, 3.4984, 0.0000], [-6.1538, 0.0000, 7.5045]], "species": ["K", "K", "K", "K", "Te", "Te", "F", "F", "F", "F", "F", "F", "F", "F", "F", "F", "F", "F", "F", "F"], "fractional_positions": [[0.1139, 0.2608, 0.2803], [0.2608, 0.1139, 0.7803], [0.7392, 0.8861, 0.2197], [0.8861, 0.7392, 0.7197], [0.3849, 0.6151, 0.2500], [0.6151, 0.3849, 0.7500], [0.0930, 0.9070, 0.2500], [0.1666, 0.5368, 0.2354], [0.2422, 0.5700, 0.9886], [0.2584, 0.5064, 0.6312], [0.4300, 0.7578, 0.5114], [0.4632, 0.8334, 0.2646], [0.4936, 0.7416, 0.8688], [0.5064, 0.2584, 0.1312], [0.5368, 0.1666, 0.7354], [0.5700, 0.2422, 0.4886], [0.7416, 0.4936, 0.3688], [0.7578, 0.4300, 0.0114], [0.8334, 0.4632, 0.7646], [0.9070, 0.0930, 0.7500]], "sg": "C2/c", "magnetic_moment_mub_per_cell": 1.785, "e_form_raw_ev_per_atom": -2.37}



No. 5
{"formula": "BeVAu2Br", "functional": "PBE", "state": "relaxed", "cell": [[4.4179, 0.0000, 0.0000], [0.0000, 4.4179, 0.0000], [0.0000, 0.0000, 5.0762]], "species": ["Be", "V", "Au", "Au", "Br"], "fractional_positions": [[0.0000, 0.0000, 0.0000], [0.5000, 0.5000, 0.5000], [0.0000, 0.5000, 0.0000], [0.5000, 0.0000, 0.0000], [0.0000, 0.0000, 0.5000]], "sg": "P4/mmm", "magnetic_moment_mub_per_cell": 3.618, "e_form_raw_ev_per_atom": 0.47}



No. 6
{"formula": "CsPBr6", "functional": "PBE", "state": "relaxed", "cell": [[6.0427, 0.0000, 0.0000], [1.3850, 6.2892, 0.0000], [2.9951, 1.5389, 7.4151]], "species": ["Cs", "P", "Br", "Br", "Br", "Br", "Br", "Br"], "fractional_positions": [[0.0000, 0.0000, 0.0000], [0.5000, 0.5000, 0.5000], [0.0614, 0.6249, 0.6690], [0.3391, 0.1471, 0.4556], [0.4706, 0.7036, 0.1977], [0.5294, 0.2964, 0.8023], [0.6609, 0.8529, 0.5444], [0.9386, 0.3751, 0.3310]], "polymorph_energy_ev_per_atom": 0.061, "sg": "P-1", "magnetic_moment_mub_per_cell": 0.000, "e_form_raw_ev_per_atom": -0.50}



Calculated calculated total energy, -2.931; -5.775; -8.978; -4.213; -3.743; -2.536 eV/atom (same order as the records).